This record from the Alexandria database describes an optimized crystal structure of CrMo3O. The functional is PBE with a Hubbard U.

Values from the calculation:
Energy above the most stable polymorph in this dataset = 0 meV/atom
Symmetry = No. 221

a b c (Å): 4.155 4.155 4.155
angles (deg): 90.00 90.00 90.00
Positions (direct):
Cr1 0.000 0.000 0.000
Mo1 0.000 0.500 0.500
Mo2 0.500 0.000 0.500
Mo3 0.500 0.500 0.000
O1 0.500 0.500 0.500